(1)
# YTcAsO

A geometry-optimized YTcAsO structure (PBE, OQMD via LeMat-Bulk).

Calculated values
Total magnetic moment in μB/f.u.: 3.25
Space-group type: No. 129
Energy above the most stable polymorph in this dataset in eV/atom: 1.586
Total DFT energy (no corrections) in hartree per atom: -0.2493

abc: 4.3569 4.3569 8.8888
angles: 90.00 90.00 90.00
With the nearest neighbours (Å) after each atom.
Atoms (fractional coordinates):
As: 0.0000 0.5000 0.2964  1 Tc 2.46
As: 0.5000 0.0000 0.7036  1 Tc 2.46
O: 0.0000 0.0000 0.0000  4 Tc 2.19
O: 0.5000 0.5000 0.0000  4 Tc 2.19
Tc: 0.0000 0.5000 0.0193  4 O 2.19
Tc: 0.5000 0.0000 0.9807  4 O 2.19
Y: 0.0000 0.0000 0.5000  4 As 2.83, 4 Y 3.08
Y: 0.5000 0.5000 0.5000  4 As 2.83, 4 Y 3.08

***

(2)
# PrZn6Au4

A geometry-optimized PrZn6Au4 structure (PBE, OQMD via LeMat-Bulk).

Calculated values
Total magnetic moment in μB/f.u.: 0.00
Space-group type: No. 187
Total DFT energy (no corrections) in hartree per atom: -0.0988
DFT formation energy in eV/atom: -0.376

abc: 7.4586 7.4586 4.2072
angles: 90.00 90.00 120.00
With the nearest neighbours (Å) after each atom.
Atoms (fractional coordinates):
Au: 0.3333 0.6667 0.0000  9 Zn 2.65-2.67
Au: 0.8045 0.1955 0.5000  6 Zn 2.60-2.72
Au: 0.3910 0.1955 0.5000  6 Zn 2.60-2.72
Au: 0.8045 0.6090 0.5000  6 Zn 2.60-2.72
Pr: 0.0000 0.0000 0.0000  6 Au 3.29, 6 Zn 3.40
Zn: 0.5384 0.0769 0.0000  5 Au 2.65-2.72, 2 Zn 2.87
Zn: 0.5384 0.4616 0.0000  5 Au 2.65-2.72, 2 Zn 2.87
Zn: 0.9231 0.4616 0.0000  5 Au 2.65-2.72, 2 Zn 2.87
Zn: 0.2063 0.4125 0.5000  4 Au 2.60-2.67, 2 Zn 2.84
Zn: 0.2063 0.7937 0.5000  4 Au 2.60-2.67, 2 Zn 2.84
Zn: 0.5875 0.7937 0.5000  4 Au 2.60-2.67, 2 Zn 2.84